[1]
First-principles (GGA-PBEsol) data for a geometry-optimized InFePbF2 structure, as listed in Alexandria.

The calculation puts the total energy at -4.6126 eV/atom. The magnetic moment is 2.61 μB per cell. As for the raw formation energy: -315 kJ/mol of formula units.

The space group is P4/mmm (No. 123) and the conventional cell measures 4.1555, 4.1555 and 5.6413 Å, with angles of 90.00, 90.00 and 90.00 degrees. The distinct sites, in fractional coordinates, are In at (0.0000, 0.0000, 0.0000), Fe at (0.0000, 0.0000, 0.5000), Pb at (0.5000, 0.5000, 0.5000) and F at (0.0000, 0.5000, 0.0000).

[2]
First-principles (GGA-PBEsol) data for a geometry-optimized HfFe3Pd structure, as listed in Alexandria.

The calculation puts the total energy at -7.4964 eV/atom. The magnetic moment is 7.73 μB per cell.

The space group is Pm-3m (No. 221) and the conventional cell measures 4.4783, 4.4783 and 4.4783 Å, with angles of 90.00, 90.00 and 90.00 degrees. The distinct sites, in fractional coordinates, are Hf at (0.0000, 0.0000, 0.0000), Fe at (0.0000, 0.5000, 0.5000) and Pd at (0.5000, 0.5000, 0.5000).

[3]
First-principles (GGA-PBEsol) data for a geometry-optimized Tl2HgBPb structure, as listed in Alexandria.

The calculation puts the total energy at -1.9651 eV/atom. The magnetic moment is 0.00 μB per cell.

The space group is P4/mmm (No. 123) and the conventional cell measures 5.4861, 5.4861 and 5.7250 Å, with angles of 90.00, 90.00 and 90.00 degrees. The distinct sites, in fractional coordinates, are Tl at (0.0000, 0.5000, 0.0000), Hg at (0.0000, 0.0000, 0.0000), B at (0.5000, 0.5000, 0.5000) and Pb at (0.0000, 0.0000, 0.5000).

[4]
First-principles (GGA-PBEsol) data for a geometry-optimized NaZr2HRu structure, as listed in Alexandria.

The calculation puts the total energy at -6.4786 eV/atom. The magnetic moment is 0.00 μB per cell.

The space group is P4/mmm (No. 123) and the conventional cell measures 4.5220, 4.5220 and 3.6991 Å, with angles of 90.00, 90.00 and 90.00 degrees. The distinct sites, in fractional coordinates, are Na at (0.0000, 0.0000, 0.0000), Zr at (0.0000, 0.5000, 0.5000), H at (0.0000, 0.0000, 0.5000) and Ru at (0.5000, 0.5000, 0.0000).

[5]
First-principles (GGA-PBEsol) data for a geometry-optimized CsGaIr3 structure, as listed in Alexandria.

The calculation puts the total energy at -5.2990 eV/atom. The magnetic moment is 0.00 μB per cell.

The space group is Pm-3m (No. 221) and the conventional cell measures 4.7032, 4.7032 and 4.7032 Å, with angles of 90.00, 90.00 and 90.00 degrees. The distinct sites, in fractional coordinates, are Cs at (0.0000, 0.0000, 0.0000), Ga at (0.5000, 0.5000, 0.5000) and Ir at (0.0000, 0.5000, 0.5000).

[6]
First-principles (GGA-PBEsol) data for a geometry-optimized MgIrRh2 structure, as listed in Alexandria.

The calculation puts the total energy at -7.1399 eV/atom. The magnetic moment is 0.00 μB per cell.

The space group is Cm (No. 8) and the conventional cell measures 9.0331, 2.7355 and 4.6585 Å, with angles of 90.00, 100.16 and 90.00 degrees. The distinct sites, in fractional coordinates, are Mg at (0.0000, 0.0000, 0.0000), Ir at (0.2579, 0.5000, 0.2877), Rh at (0.0007, 0.5000, 0.4967) and Rh at (0.2448, 0.0000, 0.7696).

[7]
First-principles (GGA-PBEsol) data for a geometry-optimized LiY2Sc structure, as listed in Alexandria.

The calculation puts the total energy at -5.4693 eV/atom. The magnetic moment is 0.00 μB per cell.

The space group is P4/mmm (No. 123) and the conventional cell measures 3.5420, 3.5420 and 8.3028 Å, with angles of 90.00, 90.00 and 90.00 degrees. The distinct sites, in fractional coordinates, are Li at (0.0000, 0.0000, 0.0000), Y at (0.5000, 0.5000, 0.2404) and Sc at (0.0000, 0.0000, 0.5000).

[8]
First-principles (GGA-PBEsol) data for a geometry-optimized CsCrCuB2 structure, as listed in Alexandria.

The calculation puts the total energy at -4.1772 eV/atom. The magnetic moment is 1.42 μB per cell.

The space group is P4/mmm (No. 123) and the conventional cell measures 4.0302, 4.0302 and 5.5040 Å, with angles of 90.00, 90.00 and 90.00 degrees. The distinct sites, in fractional coordinates, are Cs at (0.0000, 0.0000, 0.0000), Cr at (0.0000, 0.0000, 0.5000), Cu at (0.5000, 0.5000, 0.0000) and B at (0.0000, 0.5000, 0.5000).